1.
DFT (PBEsol) results for crystalline TcWBr2 at its relaxed geometry.

Lattice parameters (Å, degrees): 4.225 4.225 7.617 90.00 90.00 90.00
Atoms (fractional coordinates):
Tc: 0.000 0.000 0.000
Tc: 0.500 0.500 0.500
W: 0.000 0.500 0.250
W: 0.500 0.000 0.750
Br: 0.000 0.000 0.500
Br: 0.000 0.500 0.750
Br: 0.500 0.000 0.250
Br: 0.500 0.500 0.000

- D(E_F): 0.7684 states/eV/atom
- Space-group type: I-4m2 (119)
- Total magnetic moment: 0.00 μB/cell
- Volume: 17.0 Å³/atom

2.
DFT (PBEsol) results for crystalline Tc2WBr at its relaxed geometry.

Lattice parameters (Å, degrees): 2.877 2.877 25.802 90.00 90.00 120.00
Atoms (fractional coordinates):
Tc: 0.000 0.000 0.000
Tc: 0.000 0.000 0.256
Tc: 0.333 0.667 0.667
Tc: 0.333 0.667 0.923
Tc: 0.667 0.333 0.333
Tc: 0.667 0.333 0.590
W: 0.000 0.000 0.503
W: 0.333 0.667 0.170
W: 0.667 0.333 0.837
Br: 0.000 0.000 0.755
Br: 0.333 0.667 0.421
Br: 0.667 0.333 0.088

- D(E_F): 0.8605 states/eV/atom
- Space-group type: R3m (160)
- Total magnetic moment: 0.00 μB/cell
- Volume: 15.4 Å³/atom

3.
DFT (PBEsol) results for crystalline YTcBr at its relaxed geometry.

Lattice parameters (Å, degrees): 6.701 6.701 6.701 90.00 90.00 90.00
Atoms (fractional coordinates):
Y: 0.000 0.000 0.000
Y: 0.000 0.500 0.500
Y: 0.500 0.000 0.500
Y: 0.500 0.500 0.000
Tc: 0.250 0.250 0.750
Tc: 0.250 0.750 0.250
Tc: 0.750 0.250 0.250
Tc: 0.750 0.750 0.750
Br: 0.250 0.250 0.250
Br: 0.250 0.750 0.750
Br: 0.750 0.250 0.750
Br: 0.750 0.750 0.250

- D(E_F): 2.2514 states/eV/atom
- Space-group type: F-43m (216)
- Total magnetic moment: 9.74 μB/cell
- Volume: 25.1 Å³/atom

4.
DFT (PBEsol) results for crystalline YTcBr2 at its relaxed geometry.

Lattice parameters (Å, degrees): 3.702 3.702 6.722 90.00 90.00 90.00
Atoms (fractional coordinates):
Y: 0.000 0.000 0.000
Tc: 0.500 0.500 0.798
Br: 0.000 0.000 0.584
Br: 0.500 0.500 0.191

- D(E_F): 0.6382 states/eV/atom
- Space-group type: P4mm (99)
- Total magnetic moment: 2.05 μB/cell
- Volume: 23.0 Å³/atom

5.
DFT (PBEsol) results for crystalline YTcBr2 at its relaxed geometry.

Lattice parameters (Å, degrees): 3.475 3.475 6.735 90.00 90.00 90.00
Atoms (fractional coordinates):
Y: 0.000 0.000 0.000
Tc: 0.000 0.000 0.500
Br: 0.500 0.500 0.245
Br: 0.500 0.500 0.755

- D(E_F): 0.6787 states/eV/atom
- Space-group type: P4/mmm (123)
- Total magnetic moment: 3.37 μB/cell
- Volume: 20.3 Å³/atom

6.
DFT (PBEsol) results for crystalline Zn2TcBr at its relaxed geometry.

Lattice parameters (Å, degrees): 2.937 4.412 4.844 90.00 90.00 90.00
Atoms (fractional coordinates):
Zn: 0.000 0.000 0.000
Zn: 0.500 0.500 0.000
Tc: 0.000 0.500 0.500
Br: 0.500 0.000 0.500

- D(E_F): 0.9363 states/eV/atom
- Space-group type: Pmmm (47)
- Total magnetic moment: 0.01 μB/cell
- Volume: 15.7 Å³/atom

7.
DFT (PBEsol) results for crystalline ZnTcBr2 at its relaxed geometry.

Lattice parameters (Å, degrees): 3.750 3.750 11.732 90.00 90.00 90.00
Atoms (fractional coordinates):
Zn: 0.000 0.000 0.000
Zn: 0.500 0.500 0.500
Tc: 0.000 0.500 0.750
Tc: 0.500 0.000 0.250
Br: 0.000 0.000 0.500
Br: 0.000 0.500 0.250
Br: 0.500 0.000 0.750
Br: 0.500 0.500 0.000

- D(E_F): 0.6790 states/eV/atom
- Space-group type: I-4m2 (119)
- Total magnetic moment: 6.28 μB/cell
- Volume: 20.6 Å³/atom

8.
DFT (PBEsol) results for crystalline Zn2TcBr at its relaxed geometry.

Lattice parameters (Å, degrees): 3.733 3.733 8.885 90.00 90.00 90.00
Atoms (fractional coordinates):
Zn: 0.000 0.500 0.250
Zn: 0.000 0.500 0.750
Zn: 0.500 0.000 0.250
Zn: 0.500 0.000 0.750
Tc: 0.000 0.000 0.000
Tc: 0.500 0.500 0.500
Br: 0.000 0.000 0.500
Br: 0.500 0.500 0.000

- D(E_F): 0.8387 states/eV/atom
- Space-group type: I4/mmm (139)
- Total magnetic moment: 1.75 μB/cell
- Volume: 15.5 Å³/atom

9.
DFT (PBEsol) results for crystalline ZnTcBr2 at its relaxed geometry.

Lattice parameters (Å, degrees): 6.502 6.502 6.502 90.00 90.00 90.00
Atoms (fractional coordinates):
Zn: 0.000 0.000 0.000
Zn: 0.000 0.500 0.500
Zn: 0.500 0.000 0.500
Zn: 0.500 0.500 0.000
Tc: 0.000 0.000 0.500
Tc: 0.000 0.500 0.000
Tc: 0.500 0.000 0.000
Tc: 0.500 0.500 0.500
Br: 0.250 0.250 0.250
Br: 0.250 0.250 0.750
Br: 0.250 0.750 0.250
Br: 0.250 0.750 0.750
Br: 0.750 0.250 0.250
Br: 0.750 0.250 0.750
Br: 0.750 0.750 0.250
Br: 0.750 0.750 0.750

- D(E_F): 0.9746 states/eV/atom
- Space-group type: Fm-3m (225)
- Total magnetic moment: 0.07 μB/cell
- Volume: 17.2 Å³/atom

10.
DFT (PBEsol) results for crystalline Zn2TcBr at its relaxed geometry.

Lattice parameters (Å, degrees): 3.415 4.897 7.995 90.00 90.00 90.00
Atoms (fractional coordinates):
Zn: 0.000 0.000 0.231
Zn: 0.000 0.000 0.769
Zn: 0.500 0.500 0.231
Zn: 0.500 0.500 0.769
Tc: 0.000 0.500 0.000
Tc: 0.500 0.000 0.000
Br: 0.000 0.500 0.500
Br: 0.500 0.000 0.500

- D(E_F): 0.6162 states/eV/atom
- Space-group type: Cmmm (65)
- Total magnetic moment: 0.00 μB/cell
- Volume: 16.7 Å³/atom

11.
DFT (PBEsol) results for crystalline ZnTcBr2 at its relaxed geometry.

Lattice parameters (Å, degrees): 6.845 6.845 6.845 90.00 90.00 90.00
Atoms (fractional coordinates):
Zn: 0.000 0.000 0.000
Zn: 0.000 0.500 0.500
Zn: 0.500 0.000 0.500
Zn: 0.500 0.500 0.000
Tc: 0.250 0.250 0.250
Tc: 0.250 0.750 0.750
Tc: 0.750 0.250 0.750
Tc: 0.750 0.750 0.250
Br: 0.000 0.000 0.500
Br: 0.000 0.500 0.000
Br: 0.250 0.250 0.750
Br: 0.250 0.750 0.250
Br: 0.500 0.000 0.000
Br: 0.500 0.500 0.500
Br: 0.750 0.250 0.250
Br: 0.750 0.750 0.750

- D(E_F): 1.1106 states/eV/atom
- Space-group type: F-43m (216)
- Total magnetic moment: 13.79 μB/cell
- Volume: 20.0 Å³/atom

12.
DFT (PBEsol) results for crystalline ZnTcBr2 at its relaxed geometry.

Lattice parameters (Å, degrees): 3.059 5.723 9.496 90.00 90.00 90.00
Atoms (fractional coordinates):
Zn: 0.000 0.000 0.000
Zn: 0.500 0.500 0.000
Tc: 0.000 0.000 0.500
Tc: 0.500 0.500 0.500
Br: 0.000 0.500 0.292
Br: 0.000 0.500 0.708
Br: 0.500 0.000 0.292
Br: 0.500 0.000 0.708

- D(E_F): 0.9199 states/eV/atom
- Space-group type: Cmmm (65)
- Total magnetic moment: 0.01 μB/cell
- Volume: 20.8 Å³/atom

13.
DFT (PBEsol) results for crystalline Zn2TcBr at its relaxed geometry.

Lattice parameters (Å, degrees): 4.457 4.457 3.188 90.00 90.00 90.00
Atoms (fractional coordinates):
Zn: 0.000 0.500 0.000
Zn: 0.500 0.000 0.000
Tc: 0.000 0.000 0.500
Br: 0.500 0.500 0.500

- D(E_F): 0.8463 states/eV/atom
- Space-group type: P4/mmm (123)
- Total magnetic moment: 0.02 μB/cell
- Volume: 15.8 Å³/atom

14.
DFT (PBEsol) results for crystalline ZnTcBr2 at its relaxed geometry.

Lattice parameters (Å, degrees): 6.207 7.031 3.155 90.00 90.00 90.00
Atoms (fractional coordinates):
Zn: 0.000 0.000 0.000
Zn: 0.500 0.500 0.000
Tc: 0.000 0.500 0.000
Tc: 0.500 0.000 0.000
Br: 0.250 0.250 0.500
Br: 0.250 0.750 0.500
Br: 0.750 0.250 0.500
Br: 0.750 0.750 0.500

- D(E_F): 0.8612 states/eV/atom
- Space-group type: Cmmm (65)
- Total magnetic moment: 0.00 μB/cell
- Volume: 17.2 Å³/atom

15.
DFT (PBEsol) results for crystalline ZrTcBr2 at its relaxed geometry.

Lattice parameters (Å, degrees): 3.121 3.121 8.375 90.00 90.00 90.00
Atoms (fractional coordinates):
Zr: 0.000 0.000 0.000
Tc: 0.500 0.500 0.760
Br: 0.000 0.000 0.589
Br: 0.500 0.500 0.214

- D(E_F): 0.7914 states/eV/atom
- Space-group type: P4mm (99)
- Total magnetic moment: 0.00 μB/cell
- Volume: 20.4 Å³/atom

16.
DFT (PBEsol) results for crystalline ZrTcBr2 at its relaxed geometry.

Lattice parameters (Å, degrees): 3.097 4.449 5.609 90.00 90.00 90.00
Atoms (fractional coordinates):
Zr: 0.000 0.000 0.000
Tc: 0.500 0.000 0.500
Br: 0.000 0.500 0.500
Br: 0.500 0.500 0.000

- D(E_F): 0.8534 states/eV/atom
- Space-group type: Pmmm (47)
- Total magnetic moment: 1.26 μB/cell
- Volume: 19.3 Å³/atom

17.
DFT (PBEsol) results for crystalline Zr2TcBr at its relaxed geometry.

Lattice parameters (Å, degrees): 6.076 7.396 3.250 90.00 90.00 90.00
Atoms (fractional coordinates):
Zr: 0.250 0.250 0.000
Zr: 0.250 0.750 0.000
Zr: 0.750 0.250 0.000
Zr: 0.750 0.750 0.000
Tc: 0.000 0.000 0.500
Tc: 0.500 0.500 0.500
Br: 0.000 0.500 0.500
Br: 0.500 0.000 0.500

- D(E_F): 0.8841 states/eV/atom
- Space-group type: Cmmm (65)
- Total magnetic moment: 0.00 μB/cell
- Volume: 18.3 Å³/atom

18.
DFT (PBEsol) results for crystalline ZrTcBr2 at its relaxed geometry.

Lattice parameters (Å, degrees): 3.527 3.527 7.110 90.00 90.00 90.00
Atoms (fractional coordinates):
Zr: 0.000 0.000 0.000
Tc: 0.500 0.500 0.850
Br: 0.000 0.000 0.611
Br: 0.500 0.500 0.211

- D(E_F): 0.7291 states/eV/atom
- Space-group type: P4mm (99)
- Total magnetic moment: 0.00 μB/cell
- Volume: 22.1 Å³/atom

19.
DFT (PBEsol) results for crystalline TeBr2 at its relaxed geometry.

Lattice parameters (Å, degrees): 4.846 4.846 4.122 90.00 90.00 120.00
Atoms (fractional coordinates):
Te: 0.000 0.000 0.000
Br: 0.333 0.667 0.251
Br: 0.667 0.333 0.749

- D(E_F): 0.4848 states/eV/atom
- Space-group type: P-3m1 (164)
- Total magnetic moment: 0.00 μB/cell
- Volume: 28.0 Å³/atom

20.
DFT (PBEsol) results for crystalline TeBr2 at its relaxed geometry.

Lattice parameters (Å, degrees): 15.937 4.021 7.225 90.00 114.15 90.00
Atoms (fractional coordinates):
Te: 0.000 0.000 0.000
Te: 0.050 0.500 0.765
Te: 0.500 0.500 0.000
Te: 0.550 0.000 0.765
Br: 0.156 0.000 0.288
Br: 0.225 0.500 0.944
Br: 0.358 0.000 0.652
Br: 0.445 0.000 0.216
Br: 0.656 0.500 0.288
Br: 0.725 0.000 0.944
Br: 0.858 0.500 0.652
Br: 0.945 0.500 0.216

- Space-group type: Cm (8)
- Total magnetic moment: 0.00 μB/cell
- Volume: 35.2 Å³/atom

| no. | formation energy (no corrections) (eV/f.u.) |
| --- | --- |
| 1 | 5.21 |
| 2 | 2.03 |
| 3 | 2.66 |
| 4 | -0.88 |
| 5 | 0.29 |
| 6 | 2.32 |
| 7 | 2.91 |
| 8 | 2.46 |
| 9 | 2.65 |
| 10 | 1.49 |
| 11 | 3.86 |
| 12 | 1.79 |
| 13 | 2.17 |
| 14 | 2.90 |
| 15 | -0.94 |
| 16 | 1.05 |
| 17 | -0.29 |
| 18 | -0.81 |
| 19 | 0.22 |
| 20 | -0.69 |